(1)
RbNbH2: optimized geometry, GGA-PBE.

Cell: 4.6176 4.6176 4.6176 Å, 60.00 60.00 60.00°
Element x y z (fractional)
H1 0.7500 0.7500 0.7500
H2 0.2500 0.2500 0.2500
Nb1 0.5000 0.5000 0.5000
Rb1 0.0000 0.0000 0.0000

Computed properties:
- uncorrected energy (eV per cell) = -12.577
- M_tot (μB per atom) = 1.000
- D(E_F) (states/eV/f.u.) = 2.386

***

(2)
Sb2AsPb: optimized geometry, GGA-PBE.

Cell: 5.4053 5.4832 6.3833 Å, 126.44 125.35 71.83°
Element x y z (fractional)
Pb1 0.8645 0.1353 0.5089
As1 0.3443 0.6557 0.0315
Sb1 0.3648 0.6356 0.4501
Sb2 0.9264 0.0734 0.0095

Computed properties:
- uncorrected energy (eV per cell) = -16.430
- M_tot (μB per atom) = 0.000
- formation energy without anion corrections (eV/atom) = 0.043
- D(E_F) (states/eV/f.u.) = 1.089

***

(3)
K3Ac3MnS8: optimized geometry, GGA-PBE.

Cell: 8.4680 8.4699 8.9556 Å, 118.24 90.00 119.99°
Element x y z (fractional)
S1 0.2018 0.4035 0.6860
S2 0.7826 0.9843 0.6860
S3 0.7983 0.0156 0.3140
S4 0.2174 0.0157 0.3140
S5 0.7399 0.4798 0.7198
S6 0.2017 0.9844 0.6860
S7 0.2601 0.5202 0.2802
S8 0.7982 0.5965 0.3140
Mn1 0.0000 0.0000 0.5000
K1 0.0000 0.0000 0.0000
K2 0.5000 0.5000 0.0000
K3 0.0000 0.5000 0.0000
Ac1 0.0000 0.5000 0.5000
Ac2 0.5000 0.5000 0.5000
Ac3 0.5000 0.0000 0.5000

Computed properties:
- uncorrected energy (eV per cell) = -80.489
- M_tot (μB per atom) = 0.200
- formation energy without anion corrections (eV/atom) = -1.512

***

(4)
Ce3Pm2PrTe6: optimized geometry, GGA-PBE.

Cell: 7.7507 7.7507 7.8264 Å, 99.50 99.50 120.08°
Element x y z (fractional)
Ce1 0.8352 0.1648 0.5000
Ce2 0.5000 0.5000 0.5000
Ce3 0.1648 0.8352 0.5000
Te1 0.5800 0.9164 0.7496
Te2 0.2539 0.2539 0.7517
Te3 0.7461 0.7461 0.2483
Te4 0.0836 0.4200 0.2504
Te5 0.9164 0.5800 0.7496
Te6 0.4200 0.0836 0.2504
Pr1 0.0000 0.0000 0.0000
Pm1 0.3330 0.6670 0.0000
Pm2 0.6670 0.3330 0.0000

Computed properties:
- uncorrected energy (eV per cell) = -67.745
- M_tot (μB per atom) = 0.284
- formation energy without anion corrections (eV/atom) = -1.401
- D(E_F) (states/eV/f.u.) = 23.526

***

(5)
CsBa2MgRh: optimized geometry, GGA-PBE.

Cell: 6.1699 6.1699 5.5369 Å, 90.00 90.00 90.00°
Element x y z (fractional)
Ba1 0.5000 0.0000 0.0000
Ba2 0.0000 0.5000 0.0000
Rh1 0.0000 0.0000 0.0000
Mg1 0.0000 0.0000 0.5000
Cs1 0.5000 0.5000 0.5000

Computed properties:
- uncorrected energy (eV per cell) = -13.761
- M_tot (μB per atom) = 0.000
- E_form (eV per formula unit) = -0.116
- D(E_F) (states/eV/f.u.) = 4.378

***

(6)
Cs3CuH4: optimized geometry, GGA-PBE.

Cell: 6.4701 6.4701 6.4701 Å, 92.07 117.03 120.63°
Element x y z (fractional)
H1 0.0663 0.7083 0.3580
H2 0.1323 0.3401 0.4723
H3 0.6497 0.2917 0.3580
H4 0.1323 0.6599 0.7922
Cu1 0.0089 0.5000 0.5089
Cs1 0.5594 0.2405 0.7998
Cs2 0.5594 0.7595 0.3189
Cs3 0.0428 0.0000 0.0428

Computed properties:
- uncorrected energy (eV per cell) = -20.921
- M_tot (μB per atom) = 0.000
- D(E_F) (states/eV/f.u.) = 0.000

***

(7)
In12Bi5Au3: optimized geometry, GGA-PBE.

Cell: 14.9850 14.9850 14.9850 Å, 109.47 109.47 109.47°
Element x y z (fractional)
Au1 0.7500 0.8750 0.6250
Au2 0.3750 0.7500 0.6250
Au3 0.1250 0.2500 0.8750
Au4 0.3750 0.6250 0.2500
Au5 0.2500 0.1250 0.3750
Au6 0.6250 0.3750 0.7500
Au7 0.8750 0.1250 0.2500
Au8 0.6250 0.2500 0.3750
Au9 0.7500 0.3750 0.1250
Au10 0.1250 0.8750 0.7500
Au11 0.8750 0.7500 0.1250
Au12 0.2500 0.6250 0.8750
In1 0.1097 0.1701 0.2441
In2 0.5604 0.6344 0.3903
In3 0.3656 0.9260 0.7559
In4 0.8656 0.6097 0.9396
In5 0.3299 0.5740 0.4396
In6 0.8656 0.2559 0.4260
In7 0.9260 0.5604 0.1701
In8 0.2441 0.6701 0.1097
In9 0.9396 0.1097 0.8656
In10 0.3656 0.4396 0.1097
In11 0.7441 0.1344 0.0740
In12 0.0740 0.6344 0.7441
In13 0.6097 0.7441 0.6701
In14 0.4260 0.6701 0.0604
In15 0.1701 0.0604 0.9260
In16 0.0604 0.1701 0.4260
In17 0.9260 0.3656 0.2559
In18 0.4396 0.0740 0.3299
In19 0.5604 0.9260 0.6701
In20 0.6344 0.5604 0.8903
In21 0.7559 0.3299 0.8903
In22 0.0604 0.8903 0.1344
In23 0.8903 0.8299 0.7559
In24 0.5740 0.3299 0.9396
In25 0.8903 0.0604 0.6344
In26 0.9396 0.8299 0.5740
In27 0.6097 0.8656 0.4396
In28 0.7441 0.6097 0.1701
In29 0.4260 0.7559 0.8656
In30 0.1344 0.3903 0.0604
In31 0.6344 0.0740 0.2441
In32 0.3903 0.1344 0.5604
In33 0.6701 0.2441 0.6097
In34 0.0740 0.4396 0.8299
In35 0.1097 0.9396 0.3656
In36 0.2441 0.5740 0.6344
In37 0.1344 0.7441 0.5740
In38 0.8299 0.8903 0.2559
In39 0.2559 0.3903 0.8299
In40 0.8299 0.9396 0.0740
In41 0.3903 0.2559 0.3299
In42 0.2559 0.8656 0.9260
In43 0.5740 0.2441 0.1344
In44 0.1701 0.1097 0.7441
In45 0.3299 0.7559 0.3903
In46 0.7559 0.4260 0.3656
In47 0.6701 0.4260 0.5604
In48 0.4396 0.3656 0.6097
Bi1 0.8750 0.6250 0.7500
Bi2 0.3750 0.1250 0.7500
Bi3 0.7500 0.1250 0.8750
Bi4 0.5000 0.0000 0.5000
Bi5 0.5000 0.5000 0.0000
Bi6 0.8750 0.2500 0.6250
Bi7 0.0000 0.5000 0.0000
Bi8 0.2500 0.8750 0.1250
Bi9 0.5000 0.0000 0.0000
Bi10 0.2500 0.3750 0.6250
Bi11 0.0000 0.0000 0.0000
Bi12 0.7500 0.6250 0.3750
Bi13 0.0000 0.0000 0.5000
Bi14 0.0000 0.5000 0.5000
Bi15 0.3750 0.2500 0.1250
Bi16 0.5000 0.5000 0.5000
Bi17 0.6250 0.8750 0.2500
Bi18 0.1250 0.7500 0.3750
Bi19 0.1250 0.3750 0.2500
Bi20 0.6250 0.7500 0.8750

Computed properties:
- uncorrected energy (eV per cell) = -245.343
- M_tot (μB per atom) = 0.000
- E_form (eV per formula unit) = 0.762
- D(E_F) (states/eV/f.u.) = 10.881

***

(8)
CaLaSc2: optimized geometry, GGA-PBE.

Cell: 6.0974 6.0974 6.0910 Å, 79.37 79.37 33.65°
Element x y z (fractional)
Ca1 0.4950 0.4950 0.5112
Sc1 0.7403 0.7403 0.7652
Sc2 0.0068 0.0068 0.9970
La1 0.2579 0.2579 0.2266

Computed properties:
- uncorrected energy (eV per cell) = -18.963
- M_tot (μB per atom) = 0.000
- E_form (eV per formula unit) = 0.629
- D(E_F) (states/eV/f.u.) = 5.433